1.
First-principles (GGA-PBE) data for a relaxed structure of NdReN3, as listed in Alexandria.

a = 3.535 Å, b = 13.231 Å, c = 6.308 Å
α = 90.00°, β = 90.00°, γ = 90.00°
Space group Cmcm (No. 63)
Symmetry-distinct sites (fractional):
1 Nd 0.000 0.180 0.250 (multiplicity 4)
2 Re 0.000 0.428 0.250 (multiplicity 4)
3 N 0.000 0.012 0.750 (multiplicity 4)
4 N 0.000 0.342 0.025 (multiplicity 8)

The value obtained for the uncorrected formation energy is -275 kJ/mol of formula units. The calculation puts the density of states at the Fermi level at 0.398 states/eV per atom. The magnetization is 0.0 μB/f.u.

***

2.
First-principles (GGA-PBE) data for a relaxed structure of Nd2ReN5, as listed in Alexandria.

a = 3.975 Å, b = 12.492 Å, c = 11.090 Å
α = 90.00°, β = 90.00°, γ = 90.00°
Space group Cmcm (No. 63)
Symmetry-distinct sites (fractional):
1 Nd 0.000 0.145 0.066 (multiplicity 8)
2 Re 0.000 0.139 0.750 (multiplicity 4)
3 N 0.000 0.046 0.625 (multiplicity 8)
4 N 0.000 0.269 0.609 (multiplicity 8)
5 N 0.000 0.331 0.250 (multiplicity 4)

The value obtained for the uncorrected formation energy is -161 kJ/mol of formula units. The calculation puts the density of states at the Fermi level at 0.652 states/eV per atom. The magnetization is 1.5 μB/f.u.

***

3.
First-principles (GGA-PBE) data for a relaxed structure of NdRe2N8, as listed in Alexandria.

a = 4.650 Å, b = 4.650 Å, c = 6.340 Å
α = 90.00°, β = 90.00°, γ = 90.00°
Space group P4/mmm (No. 123)
Symmetry-distinct sites (fractional):
1 Nd 0.000 0.000 0.000 (multiplicity 1)
2 Re 0.000 0.500 0.500 (multiplicity 2)
3 N 0.251 0.251 0.299 (multiplicity 8)

The value obtained for the uncorrected formation energy is 1186 kJ/mol of formula units. The calculation puts the density of states at the Fermi level at 0.608 states/eV per atom. The magnetization is 0.0 μB/f.u.

***

4.
First-principles (GGA-PBE) data for a relaxed structure of Nd3Re2N7, as listed in Alexandria.

a = 3.988 Å, b = 20.688 Å, c = 3.856 Å
α = 90.00°, β = 90.00°, γ = 90.00°
Space group Cmmm (No. 65)
Symmetry-distinct sites (fractional):
1 Nd 0.000 0.000 0.000 (multiplicity 2)
2 Nd 0.000 0.180 0.000 (multiplicity 4)
3 Re 0.000 0.402 0.500 (multiplicity 4)
4 N 0.000 0.095 0.500 (multiplicity 4)
5 N 0.000 0.304 0.500 (multiplicity 4)
6 N 0.000 0.400 0.000 (multiplicity 4)
7 N 0.000 0.500 0.500 (multiplicity 2)

The value obtained for the uncorrected formation energy is -693 kJ/mol of formula units. The calculation puts the density of states at the Fermi level at 0.197 states/eV per atom. The magnetization is 0.0 μB/f.u.

***

5.
First-principles (GGA-PBE) data for a relaxed structure of Nd2Re2N5, as listed in Alexandria.

a = 11.541 Å, b = 3.848 Å, c = 6.094 Å
α = 90.00°, β = 107.20°, γ = 90.00°
Space group C2/m (No. 12)
Symmetry-distinct sites (fractional):
1 Nd 0.113 0.000 0.301 (multiplicity 4)
2 Re 0.137 0.500 0.857 (multiplicity 4)
3 N 0.000 0.500 0.000 (multiplicity 2)
4 N 0.155 0.500 0.565 (multiplicity 4)
5 N 0.180 0.000 0.957 (multiplicity 4)

The value obtained for the offset from the most stable computed form is 133.2 meV per atom. The value obtained for the uncorrected formation energy is -469 kJ/mol of formula units. The calculation puts the density of states at the Fermi level at 0.383 states/eV per atom. The magnetization is 0.0 μB/f.u.

***

6.
First-principles (GGA-PBE) data for a relaxed structure of Nd3Re2N8, as listed in Alexandria.

a = 5.6912 Å, b = 5.6912 Å, c = 20.3266 Å
α = 90.00°, β = 90.00°, γ = 120.00°
Space group R-3m (No. 166, hexagonal axes)
Symmetry-distinct sites (fractional):
1 Nd 0.0000 0.0000 0.0000 (multiplicity 3)
2 Nd 0.0000 0.0000 0.2003 (multiplicity 6)
3 Re 0.0000 0.0000 0.4057 (multiplicity 6)
4 N 0.0000 0.0000 0.3168 (multiplicity 6)
5 N 0.0142 0.5071 0.7700 (multiplicity 18)

The value obtained for the uncorrected formation energy is -820 kJ/mol of formula units. The calculation puts the density of states at the Fermi level at 0.633 states/eV per atom. The magnetization is 0.0 μB/f.u.

***

> Look up the magnetization of the fourth one.

0.0 μB/f.u.